# 1
A relaxed Zn2InBr crystal, computed with GGA-PBEsol.

Values from the calculation:
Total DFT energy (no corrections), eV per cell: -7.24
Space-group type: Fm-3m
E_form (uncorrected), meV/atom: 194

Unit cell a=5.059 b=5.059 c=5.059 alpha=60.00 beta=60.00 gamma=60.00
Sites, in units of the cell vectors:
Br (0.000, 0.000, 0.000)
In (0.500, 0.500, 0.500)
Zn (0.250, 0.250, 0.250)
Zn (0.750, 0.750, 0.750)

***

# 2
A relaxed TcB2Os2 crystal, computed with GGA-PBEsol.

Values from the calculation:
Total DFT energy (no corrections), eV per cell: -47.23
DFT formation energy, eV per atom: 0.500
Space-group type: I4/mmm

Unit cell a=3.798 b=3.798 c=4.917 alpha=112.72 beta=112.72 gamma=90.00
Sites, in units of the cell vectors:
B (0.250, 0.750, 0.500)
B (0.750, 0.250, 0.500)
Os (0.354, 0.354, 0.709)
Os (0.646, 0.646, 0.291)
Tc (0.000, 0.000, 0.000)